1.
PBE TlCr4Se6, relaxed; Fermi-level density of states = 9.49 states/eV per cell; total energy = -132.30 eV/cell
1.0
3.749 0.000 0.000
-1.874 6.322 0.000
0.000 0.000 19.571
Tl Cr Se
2 8 12
Direct
0.669 0.338 0.250
0.331 0.662 0.750
0.863 0.726 0.540
0.411 0.821 0.129
0.137 0.274 0.460
0.589 0.179 0.871
0.863 0.726 0.960
0.137 0.274 0.040
0.589 0.179 0.629
0.411 0.821 0.371
0.500 0.000 0.000
0.500 0.000 0.500
0.038 0.076 0.351
0.962 0.924 0.649
0.962 0.924 0.851
0.038 0.076 0.149
0.776 0.552 0.420
0.224 0.448 0.580
0.224 0.448 0.920
0.776 0.552 0.080
0.354 0.708 0.250
0.646 0.292 0.750


2.
PBE TlCrSe2, relaxed; Fermi-level density of states = 0.62 states/eV per cell; total energy = -20.91 eV/cell
1.0
-0.042 -3.797 -0.132
3.266 -1.940 0.087
0.717 -2.173 7.595
Tl Cr Se
1 1 2
Direct
0.501 0.501 0.497
0.667 0.667 0.000
0.058 0.058 0.826
0.274 0.274 0.178


no.,calculated volume (Å³ per cell),uncorrected formation energy (eV/f.u.)
1,463.8,-4.39
2,95.3,-1.95